Entry 1:
{"formula": "CdSb4Se", "functional": "PBE", "state": "optimized geometry", "cell": [[0.000, 4.396, 4.396], [4.396, 0.000, 4.396], [4.396, 4.396, 0.000]], "species": ["Cd", "Sb", "Sb", "Sb", "Sb", "Se"], "fractional_positions": [[0.000, 0.000, 0.000], [0.133, 0.622, 0.622], [0.622, 0.133, 0.622], [0.622, 0.622, 0.133], [0.622, 0.622, 0.622], [0.250, 0.250, 0.250]], "density_g_cm3": 6.63, "e_tot_ev_per_atom": -3.13, "total_magnetization_mub_per_fu": 0.0, "spacegroup": "F-43m, No. 216", "e_form_raw_mev_per_atom": 355}


Entry 2:
{"formula": "Li5Ag4Hg", "functional": "PBE", "state": "optimized geometry", "cell": [[3.271, 0.000, 0.000], [0.000, 3.271, 0.000], [0.000, 0.000, 15.359]], "species": ["Li", "Li", "Li", "Li", "Li", "Ag", "Ag", "Ag", "Ag", "Hg"], "fractional_positions": [[0.000, 0.000, 0.000], [0.000, 0.000, 0.198], [0.000, 0.000, 0.395], [0.000, 0.000, 0.605], [0.000, 0.000, 0.802], [0.500, 0.500, 0.099], [0.500, 0.500, 0.295], [0.500, 0.500, 0.705], [0.500, 0.500, 0.901], [0.500, 0.500, 0.500]], "density_g_cm3": 6.74, "e_tot_ev_per_atom": -2.37, "ef_ev_per_atom": -0.24, "total_magnetization_mub_per_fu": 0.0, "spacegroup": "P4/mmm, No. 123"}


no.,N(E_F) (states/eV/atom)
1,0.878
2,0.183